VASP calculation (GGA-PBEsol) on a geometry-optimized TiAgPt3 structure.

## Properties
* E: -0.213 Ha/atom
* space group: Pm-3m

Lattice parameters (Å, degrees): 4.608 4.608 4.608 90.00 90.00 90.00
Fractional coordinates of all 5 atoms:
1 Ti 0.000 0.000 0.000
2 Pt 0.500 0.000 0.000
3 Pt 0.000 0.000 0.500
4 Pt 0.000 0.500 0.000
5 Ag 0.500 0.500 0.500